Here is Nd9HoSn2 after structural relaxation from Alexandria. Energies are from PBE.

Output
Its volume is 31.7 A^3/atom. The final energy comes out at -4.91 eV per atom. Its total magnetization is 0.00 μB per cell. For the energy of formation, the calculation gives -0.281 eV/atom.

Structure (CIF):
```
data_Nd9HoSn2
_cell_length_a 4.985
_cell_length_b 4.985
_cell_length_c 15.321
_cell_angle_alpha 90.00
_cell_angle_beta 90.00
_cell_angle_gamma 90.00
_space_group_name_H-M_alt 'P 4/m m m'
_space_group_IT_number 123
_space_group_name_Hall '-P 4 2'
loop_
_atom_site_label
_atom_site_type_symbol
_atom_site_fract_x
_atom_site_fract_y
_atom_site_fract_z
Nd1 Nd 0.000 0.000 0.000
Nd2 Nd 0.000 0.000 0.339
Nd3 Nd 0.000 0.500 0.175
Nd4 Nd 0.000 0.500 0.500
Ho1 Ho 0.500 0.500 0.000
Sn1 Sn 0.500 0.500 0.338
```